VASP calculation (PBE-GGA) on Sr2InSnSe5 after structural relaxation.

Lattice parameters (Å, degrees): 4.208 18.936 12.898 90.00 90.00 90.00
Space group Cmc2_1 (No. 36)
Asymmetric unit:
Sr: 0.000 0.109 0.000 x4
Sr: 0.000 0.126 0.633 x4
In: 0.000 0.438 0.771 x4
Sn: 0.000 0.222 0.349 x4
Se: 0.000 0.048 0.390 x4
Se: 0.000 0.277 0.000 x4
Se: 0.000 0.307 0.691 x4
Se: 0.000 0.363 0.321 x4
Se: 0.000 0.498 0.095 x4

Its formation energy from raw total energies is -10.32 eV/f.u. Its electronic total energy is -4.205 eV/atom. The value obtained for the density is 5.19 Mg/m³.